Below is a relaxed Zr2VB2Ru5 crystal, with properties calculated at the GGA-PBE level.

SG = P4/mbm, No. 127
ΔE_f = -0.61 eV per atom
Crystal system = tetragonal

Unit cell a=9.397 b=9.397 c=3.070 alpha=90.00 beta=90.00 gamma=90.00
Element x y z (fractional)
1 Zr 0.176 0.324 0.000
2 Zr 0.324 0.824 0.000
3 Zr 0.676 0.176 0.000
4 Zr 0.824 0.676 0.000
5 V 0.000 0.000 0.000
6 V 0.500 0.500 0.000
7 B 0.123 0.623 0.000
8 B 0.377 0.123 0.000
9 B 0.623 0.877 0.000
10 B 0.877 0.377 0.000
11 Ru 0.000 0.500 0.500
12 Ru 0.069 0.786 0.500
13 Ru 0.214 0.069 0.500
14 Ru 0.286 0.569 0.500
15 Ru 0.431 0.286 0.500
16 Ru 0.500 0.000 0.500
17 Ru 0.569 0.714 0.500
18 Ru 0.714 0.431 0.500
19 Ru 0.786 0.931 0.500
20 Ru 0.931 0.214 0.500